Entry 1:
Hf2SbTe: optimized geometry, PBE.

The space group is Fm-3m (No. 225) and the conventional cell measures 7.079, 7.079 and 7.079 Å, with angles of 90.00, 90.00 and 90.00 degrees. The inequivalent atoms are Hf at (0.250, 0.250, 0.250), Sb at (0.000, 0.000, 0.000) and Te at (0.000, 0.000, 0.500).

For the energy relative to the elements, uncorrected, the calculation gives -0.426 eV per atom. The calculation puts the density of states at the Fermi level at 12.46 states/eV/cell. The calculation puts the offset from the most stable computed form at 0.1370 eV per atom. The total energy comes out at -7.219 eV per atom.



Entry 2:
Sm2Th2Sb5: optimized geometry, PBE.

The space group is Cmce (No. 64) and the conventional cell measures 15.860, 8.329 and 8.357 Å, with angles of 90.00, 90.00 and 90.00 degrees. The inequivalent atoms are Sm at (0.000, 0.153, 0.156), Th at (0.193, 0.000, 0.500), Sb at (0.000, 0.000, 0.500) and Sb at (0.140, 0.154, 0.848).

For the energy relative to the elements, uncorrected, the calculation gives -0.900 eV per atom. The calculation puts the density of states at the Fermi level at 20.35 states/eV/cell. The total energy comes out at -5.888 eV per atom.



Entry 3:
Pm6Ni2IrBr3: optimized geometry, PBE.

The space group is C2/m (No. 12) and the conventional cell measures 7.062, 12.234 and 8.078 Å, with angles of 90.00, 106.93 and 90.00 degrees. The inequivalent atoms are Pm at (0.228, 0.000, 0.193), Pm at (0.232, 0.332, 0.194), Ni at (0.000, 0.167, 0.000), Ir at (0.000, 0.500, 0.000), Br at (0.000, 0.000, 0.500) and Br at (0.000, 0.333, 0.500).

For the energy relative to the elements, uncorrected, the calculation gives -0.916 eV per atom. The calculation puts the density of states at the Fermi level at 15.04 states/eV/cell. The total energy comes out at -5.412 eV per atom.